## LiV2RuS (GGA-PBE)

Data for a relaxed structure of LiV2RuS.

Output
Space-group type   P4/mmm
E_tot   -6.463 eV per atom
ΔE_f (raw)   248 meV per atom

a = 4.2985 Å, b = 4.2985 Å, c = 4.3525 Å
α = 90.00°, β = 90.00°, γ = 90.00°
Sites, in units of the cell vectors:
1 Ru 0.0000 0.0000 0.5000
2 S 0.0000 0.0000 0.0000
3 Li 0.5000 0.5000 0.5000
4 V 0.0000 0.5000 0.0000
5 V 0.5000 0.0000 0.0000

## LiSbRu2 (GGA-PBE)

Data for a relaxed structure of LiSbRu2.

Output
Space-group type   Imm2
E_tot   -6.056 eV per atom
ΔE_f (raw)   91 meV per atom

a = 5.1382 Å, b = 5.1382 Å, c = 5.1382 Å
α = 143.65°, β = 130.59°, γ = 62.87°
Sites, in units of the cell vectors:
1 Li 0.2449 0.7449 0.5000
2 Ru 0.0017 0.0017 0.0000
3 Ru 0.7521 0.2521 0.5000
4 Sb 0.5013 0.5013 0.0000

## LiSbRu2 (GGA-PBE)

Data for a relaxed structure of LiSbRu2.

Output
Space-group type   Cmmm
E_tot   -5.635 eV per atom
ΔE_f (raw)   512 meV per atom

a = 3.0051 Å, b = 3.0051 Å, c = 8.0476 Å
α = 90.00°, β = 90.00°, γ = 113.95°
Sites, in units of the cell vectors:
1 Li 0.5000 0.5000 0.7500
2 Ru 0.0000 0.0000 0.0053
3 Ru 0.0000 0.0000 0.4947
4 Sb 0.5000 0.5000 0.2500

## Li2SbRu (GGA-PBE)

Data for a relaxed structure of Li2SbRu.

Output
Space-group type   P4mm
E_tot   -4.494 eV per atom
ΔE_f (raw)   -187 meV per atom

a = 3.3408 Å, b = 3.3408 Å, c = 5.8699 Å
α = 90.00°, β = 90.00°, γ = 90.00°
Sites, in units of the cell vectors:
1 Li 0.0000 0.0000 0.0139
2 Li 0.5000 0.5000 0.2545
3 Ru 0.0000 0.0000 0.5069
4 Sb 0.5000 0.5000 0.7247

## LiSbRu2 (GGA-PBE)

Data for a relaxed structure of LiSbRu2.

Output
Space-group type   C2/m
E_tot   -5.939 eV per atom
ΔE_f (raw)   208 meV per atom

a = 4.9599 Å, b = 5.1414 Å, c = 2.9156 Å
α = 75.86°, β = 85.33°, γ = 117.34°
Sites, in units of the cell vectors:
1 Li 0.5000 0.5000 0.0000
2 Ru 0.0000 0.0000 0.0000
3 Ru 0.5000 0.0000 0.5000
4 Sb 0.0000 0.5000 0.5000

## Li2SbRu (GGA-PBE)

Data for a relaxed structure of Li2SbRu.

Output
Space-group type   Pmmm
E_tot   -4.309 eV per atom
ΔE_f (raw)   -2 meV per atom

a = 2.9800 Å, b = 4.1977 Å, c = 5.2811 Å
α = 90.00°, β = 90.00°, γ = 90.00°
Sites, in units of the cell vectors:
1 Li 0.0000 0.0000 0.0216
2 Li 0.0000 0.0000 0.4784
3 Ru 0.5000 0.5000 0.2500
4 Sb 0.5000 0.5000 0.7500

## Li2SbRu (GGA-PBE)

Data for a relaxed structure of Li2SbRu.

Output
Space-group type   P4/mmm
E_tot   -4.105 eV per atom
ΔE_f (raw)   202 meV per atom

a = 2.9094 Å, b = 2.9094 Å, c = 8.2468 Å
α = 90.00°, β = 90.00°, γ = 90.07°
Sites, in units of the cell vectors:
1 Li 0.0000 0.0000 0.0218
2 Li 0.0000 0.0000 0.4782
3 Ru 0.5000 0.5000 0.2500
4 Sb 0.5000 0.5000 0.7500

## LiSbRu2 (GGA-PBE)

Data for a relaxed structure of LiSbRu2.

Output
Space-group type   P4/mmm
E_tot   -6.127 eV per atom
ΔE_f (raw)   20 meV per atom

a = 3.2118 Å, b = 4.3118 Å, c = 4.3118 Å
α = 90.00°, β = 90.00°, γ = 90.00°
Sites, in units of the cell vectors:
1 Li 0.5000 0.0000 0.5000
2 Ru 0.0000 0.0000 0.0000
3 Ru 0.0000 0.5000 0.5000
4 Sb 0.5000 0.5000 0.0000